(1)
Computed, not measured: a relaxed structure of PmTm5Hg3 at the PBE-GGA level of DFT.

## Properties
SG = P6_3/mcm, No. 193
V = 26.87 Å³ per atom
DOS(E_F) = 11.47 states/eV per cell
VASP energy = -3.41 eV/atom
Spin magnetization = 0.0 μB per formula unit

Unit cell a=9.003 b=9.003 c=6.890 alpha=90.00 beta=90.00 gamma=120.00
Sites, in units of the cell vectors:
Pm 0.000 0.000 0.000
Pm 0.000 0.000 0.500
Tm 0.000 0.334 0.250
Tm 0.000 0.666 0.750
Tm 0.333 0.667 0.000
Tm 0.333 0.667 0.500
Tm 0.334 0.000 0.250
Tm 0.334 0.334 0.750
Tm 0.666 0.000 0.750
Tm 0.666 0.666 0.250
Tm 0.667 0.333 0.000
Tm 0.667 0.333 0.500
Hg 0.000 0.337 0.750
Hg 0.000 0.663 0.250
Hg 0.337 0.000 0.750
Hg 0.337 0.337 0.250
Hg 0.663 0.000 0.250
Hg 0.663 0.663 0.750

(2)
Computed, not measured: a relaxed structure of PmTm3Hg6 at the PBE-GGA level of DFT.

## Properties
SG = P2_1/m, No. 11
V = 24.99 Å³ per atom
DOS(E_F) = 12.81 states/eV per cell
VASP energy = -2.42 eV/atom
Spin magnetization = 0.0 μB per formula unit

Unit cell a=9.121 b=5.154 c=11.117 alpha=90.00 beta=106.95 gamma=90.00
Sites, in units of the cell vectors:
Pm 0.066 0.250 0.386
Pm 0.934 0.750 0.614
Tm 0.232 0.250 0.004
Tm 0.353 0.750 0.806
Tm 0.485 0.250 0.611
Tm 0.515 0.750 0.389
Tm 0.647 0.250 0.194
Tm 0.768 0.750 0.996
Hg 0.063 0.750 0.909
Hg 0.141 0.750 0.208
Hg 0.174 0.250 0.692
Hg 0.256 0.750 0.521
Hg 0.360 0.250 0.292
Hg 0.463 0.750 0.094
Hg 0.537 0.250 0.906
Hg 0.640 0.750 0.708
Hg 0.744 0.250 0.479
Hg 0.826 0.750 0.308
Hg 0.859 0.250 0.792
Hg 0.937 0.250 0.091

(3)
Computed, not measured: a relaxed structure of Pm4Tm2Hg at the PBE-GGA level of DFT.

## Properties
SG = C2/m, No. 12
V = 31.81 Å³ per atom
DOS(E_F) = 9.03 states/eV per cell
VASP energy = -4.05 eV/atom
Spin magnetization = 0.0 μB per formula unit

Unit cell a=8.440 b=8.440 c=8.557 alpha=116.99 beta=116.99 gamma=24.36
Sites, in units of the cell vectors:
Pm 0.084 0.084 0.204
Pm 0.369 0.369 0.111
Pm 0.631 0.631 0.889
Pm 0.916 0.916 0.796
Tm 0.215 0.215 0.638
Tm 0.785 0.785 0.362
Hg 0.000 0.000 0.500

(4)
Computed, not measured: a relaxed structure of PmTmHg at the PBE-GGA level of DFT.

## Properties
SG = Cmcm, No. 63
V = 29.55 Å³ per atom
DOS(E_F) = 8.45 states/eV per cell
VASP energy = -3.28 eV/atom
Distance to the lowest polymorph of the same formula = 192.3 meV per atom
Spin magnetization = 0.0 μB per formula unit

Unit cell a=9.708 b=9.708 c=5.208 alpha=90.00 beta=90.00 gamma=158.82
Sites, in units of the cell vectors:
Pm 0.129 0.871 0.750
Pm 0.871 0.129 0.250
Tm 0.457 0.543 0.750
Tm 0.543 0.457 0.250
Hg 0.299 0.701 0.750
Hg 0.701 0.299 0.250

(5)
Computed, not measured: a relaxed structure of Pm2Tm3Hg4 at the PBE-GGA level of DFT.

## Properties
SG = Cmce, No. 64
V = 27.73 Å³ per atom
DOS(E_F) = 14.60 states/eV per cell
VASP energy = -3.04 eV/atom
Spin magnetization = 0.0 μB per formula unit

Unit cell a=9.524 b=9.524 c=8.110 alpha=90.00 beta=90.00 gamma=137.28
Sites, in units of the cell vectors:
Pm 0.096 0.904 0.909
Pm 0.404 0.596 0.409
Pm 0.596 0.404 0.591
Pm 0.904 0.096 0.091
Tm 0.000 0.000 0.500
Tm 0.012 0.488 0.750
Tm 0.488 0.012 0.250
Tm 0.500 0.500 0.000
Tm 0.512 0.988 0.750
Tm 0.988 0.512 0.250
Hg 0.169 0.831 0.529
Hg 0.184 0.316 0.750
Hg 0.316 0.184 0.250
Hg 0.331 0.669 0.029
Hg 0.669 0.331 0.971
Hg 0.684 0.816 0.750
Hg 0.816 0.684 0.250
Hg 0.831 0.169 0.471

(6)
Computed, not measured: a relaxed structure of Pm5TmHg3 at the PBE-GGA level of DFT.

## Properties
SG = P6_3/mcm, No. 193
V = 29.02 Å³ per atom
DOS(E_F) = 15.19 states/eV per cell
VASP energy = -3.53 eV/atom
Spin magnetization = 0.0 μB per formula unit

Unit cell a=9.297 b=9.297 c=6.977 alpha=90.00 beta=90.00 gamma=120.00
Sites, in units of the cell vectors:
Pm 0.000 0.334 0.250
Pm 0.000 0.666 0.750
Pm 0.333 0.667 0.000
Pm 0.333 0.667 0.500
Pm 0.334 0.000 0.250
Pm 0.334 0.334 0.750
Pm 0.666 0.000 0.750
Pm 0.666 0.666 0.250
Pm 0.667 0.333 0.000
Pm 0.667 0.333 0.500
Tm 0.000 0.000 0.000
Tm 0.000 0.000 0.500
Hg 0.000 0.328 0.750
Hg 0.000 0.672 0.250
Hg 0.328 0.000 0.750
Hg 0.328 0.328 0.250
Hg 0.672 0.000 0.250
Hg 0.672 0.672 0.750

Question: Which of these has the highest DOS(E_F)?
Answer: Pm5TmHg3